The following is a PBE calculation of a relaxed YHgTeN2 crystal, from Alexandria via LeMat-Bulk.

Output
As for the energy above the most stable polymorph in this dataset: 2.068 eV/f.u.

Lattice parameters (Å, degrees): 4.410 4.410 5.549 90.00 90.00 90.00
Space group P4/mmm (No. 123)
Inequivalent atoms, fractional coordinates:
Y1 0.000 0.000 0.000
Hg1 0.500 0.500 0.500
Te1 0.500 0.500 0.000
N1 0.000 0.500 0.500

=====

The following is a PBE calculation of a relaxed CaHoNi2 crystal, from Alexandria via LeMat-Bulk.

Output
As for the energy above the most stable polymorph in this dataset: 0.000 eV/f.u. The formation energy is -0.25 eV/atom.

Lattice parameters (Å, degrees): 3.381 3.381 6.859 90.00 90.00 90.00
Space group P4/mmm (No. 123)
Inequivalent atoms, fractional coordinates:
Ca1 0.000 0.000 0.000
Ho1 0.000 0.000 0.500
Ni1 0.500 0.500 0.282

=====

The following is a PBE calculation of a relaxed BaMgCu2 crystal, from Alexandria via LeMat-Bulk.

Output
The formation energy is 0.13 eV/atom.

Lattice parameters (Å, degrees): 3.437 3.437 7.755 90.00 90.00 90.00
Space group P4mm (No. 99)
Inequivalent atoms, fractional coordinates:
Ba1 0.000 0.000 0.000
Mg1 0.500 0.500 0.624
Cu1 0.000 0.000 0.419
Cu2 0.500 0.500 0.294

=====

The following is a PBE calculation of a relaxed NbCdPt2 crystal, from Alexandria via LeMat-Bulk.

Output
The formation energy is 0.04 eV/atom.

Lattice parameters (Å, degrees): 7.357 7.357 5.703 90.00 90.00 90.00
Space group I-42d (No. 122)
Inequivalent atoms, fractional coordinates:
Nb1 0.000 0.000 0.000
Cd1 0.000 0.000 0.500
Pt1 0.226 0.750 0.125

=====

The following is a PBE calculation of a relaxed Zn2HgPd2 crystal, from Alexandria via LeMat-Bulk.

Output
As for the energy above the most stable polymorph in this dataset: 0.000 eV/f.u. The formation energy is -0.33 eV/atom.

Lattice parameters (Å, degrees): 7.495 7.495 2.934 90.00 90.00 90.00
Space group P4/mbm (No. 127)
Inequivalent atoms, fractional coordinates:
Zn1 0.157 0.343 0.000
Hg1 0.000 0.000 0.500
Pd1 0.138 0.638 0.500

=====

The following is a PBE calculation of a relaxed Ca2PmHoTe4 crystal, from Alexandria via LeMat-Bulk.

Output
For the energy, the calculation gives -37.66 eV/cell.

Lattice parameters (Å, degrees): 7.648 4.413 7.808 90.00 109.07 90.00
Space group P2/m (No. 10)
Inequivalent atoms, fractional coordinates:
Ca1 0.000 0.000 0.000
Ca2 0.500 0.500 0.000
Pm1 0.000 0.500 0.500
Ho1 0.500 0.000 0.500
Te1 0.256 0.000 0.750
Te2 0.256 0.500 0.254